a) This record from Alexandria describes a geometry-optimized NaTi2O4 structure. The functional is PBEsol.

a b c (Å): 2.926 9.239 10.735
angles (deg): 90.00 90.00 90.00
Last column: magnetic moment on the atom in μB.
Atoms (fractional coordinates):
Na1 0.750 0.758 0.345  0.00
Na2 0.250 0.242 0.655  0.00
Na3 0.750 0.258 0.155  0.00
Na4 0.250 0.742 0.845  0.00
Ti1 0.250 0.563 0.611  0.44
Ti2 0.750 0.437 0.389  0.44
Ti3 0.250 0.063 0.889  0.44
Ti4 0.750 0.937 0.111  0.44
Ti5 0.750 0.918 0.603  0.44
Ti6 0.250 0.082 0.397  0.44
Ti7 0.750 0.418 0.897  0.44
Ti8 0.250 0.582 0.103  0.44
O1 0.250 0.581 0.429  0.00
O2 0.750 0.419 0.571  0.00
O3 0.250 0.081 0.071  0.00
O4 0.750 0.919 0.929  0.00
O5 0.250 0.978 0.718  -0.01
O6 0.750 0.022 0.282  -0.01
O7 0.250 0.478 0.782  -0.01
O8 0.750 0.522 0.218  -0.01
O9 0.250 0.886 0.478  0.00
O10 0.750 0.114 0.522  0.00
O11 0.250 0.386 0.022  0.00
O12 0.750 0.614 0.978  0.00
O13 0.750 0.708 0.650  -0.01
O14 0.250 0.292 0.350  -0.01
O15 0.750 0.208 0.850  -0.01
O16 0.250 0.792 0.150  -0.01

magnetization: 3.9 Bohr magnetons per cell
D(E_F): 11.2 states/eV/cell
mass density: 4.18 g/cm3

=====

b) This record from Alexandria describes a geometry-optimized NaTi2O4 structure. The functional is PBEsol.

a b c (Å): 3.351 4.043 6.731
angles (deg): 107.48 104.42 90.00
Atoms (fractional coordinates):
Na1 0.279 0.779 0.557
O1 0.086 0.586 0.172
O2 0.366 0.366 0.732
O3 0.657 0.157 0.314
O4 0.933 0.933 0.867
Ti1 0.089 0.089 0.178
Ti2 0.933 0.433 0.866

magnetization: 0.0 Bohr magnetons per cell
D(E_F): 1.2 states/eV/cell
mass density: 3.61 g/cm3

=====

Of them, b) has the lowest stability.